{"formula": "CuWBr2", "functional": "PBE", "state": "optimized geometry", "total_magnetization_mub_per_atom": 0.246, "dos_at_fermi_per_ev_cell": 3.3, "de_polymorph_ev_per_atom": 0.8334, "lattice_angstrom": [[3.1408, -3.6729, 0.0000], [3.1408, 3.6729, 0.0000], [0.0000, 0.0000, 3.1150]], "species": ["Cu", "W", "Br", "Br"], "frac_coords": [[0.0000, 0.0000, 0.0000], [0.5000, 0.5000, 0.0000], [0.0000, 0.5000, 0.5000], [0.5000, 0.0000, 0.5000]]}

---

{"formula": "YCuSb2", "functional": "PBE", "state": "optimized geometry", "total_magnetization_mub_per_atom": 0.000, "dos_at_fermi_per_ev_cell": 1.0, "de_polymorph_ev_per_atom": 0.3116, "lattice_angstrom": [[2.2773, 1.3148, 5.8416], [-2.2773, 1.3148, 5.8416], [0.0000, -2.6296, 5.8416]], "species": ["Y", "Cu", "Sb", "Sb"], "frac_coords": [[0.0000, 0.0000, 0.0000], [0.2145, 0.2145, 0.2145], [0.5726, 0.5726, 0.5726], [0.7543, 0.7543, 0.7543]]}

---

{"formula": "YTaRe2", "functional": "PBE", "state": "optimized geometry", "total_magnetization_mub_per_atom": 0.000, "dos_at_fermi_per_ev_cell": 2.0, "lattice_angstrom": [[1.6307, -2.3619, 0.0000], [1.6307, 2.3619, 0.0000], [0.0000, 0.0000, 9.2699]], "species": ["Y", "Ta", "Re", "Re"], "frac_coords": [[0.0000, 0.0000, 0.0000], [0.0000, 0.0000, 0.5000], [0.5000, 0.5000, 0.2688], [0.5000, 0.5000, 0.7312]]}

---

{"formula": "Ti2TcHPt", "functional": "PBE", "state": "optimized geometry", "total_magnetization_mub_per_atom": 0.000, "dos_at_fermi_per_ev_cell": 4.1, "de_polymorph_ev_per_atom": 0.0000, "lattice_angstrom": [[4.2122, 0.0000, 0.0000], [0.0000, 4.2122, 0.0000], [0.0000, 0.0000, 3.5942]], "species": ["Ti", "Ti", "Tc", "H", "Pt"], "frac_coords": [[0.0000, 0.5000, 0.0000], [0.5000, 0.0000, 0.0000], [0.0000, 0.0000, 0.5000], [0.0000, 0.0000, 0.0000], [0.5000, 0.5000, 0.5000]]}

---

{"formula": "Sc2RhAuC", "functional": "PBE", "state": "optimized geometry", "total_magnetization_mub_per_atom": 0.000, "dos_at_fermi_per_ev_cell": 1.9, "lattice_angstrom": [[4.5988, 0.0000, 0.0000], [0.0000, 4.5988, 0.0000], [0.0000, 0.0000, 3.8943]], "species": ["Sc", "Sc", "Rh", "Au", "C"], "frac_coords": [[0.0000, 0.5000, 0.0000], [0.5000, 0.0000, 0.0000], [0.0000, 0.0000, 0.5000], [0.5000, 0.5000, 0.5000], [0.0000, 0.0000, 0.0000]]}

---

{"formula": "LaCr3", "functional": "PBE", "state": "optimized geometry", "total_magnetization_mub_per_atom": 0.004, "dos_at_fermi_per_ev_cell": 5.1, "lattice_angstrom": [[3.6516, -1.9039, 0.0000], [3.6516, 1.9039, 0.0000], [-2.4432, 0.0000, 5.5307]], "species": ["La", "Cr", "Cr", "Cr"], "frac_coords": [[0.0000, 0.0000, 0.0000], [0.1901, 0.1901, 0.5779], [0.5000, 0.5000, 0.5000], [0.8099, 0.8099, 0.4221]]}

---

{"formula": "La2Cu2Hg", "functional": "PBE", "state": "optimized geometry", "total_magnetization_mub_per_atom": 0.000, "dos_at_fermi_per_ev_cell": 5.1, "lattice_angstrom": [[-2.8322, 2.8322, 4.0163], [2.8322, -2.8322, 4.0163], [2.8322, 2.8322, -4.0163]], "species": ["La", "La", "Cu", "Cu", "Hg"], "frac_coords": [[0.2500, 0.7500, 0.5000], [0.7500, 0.2500, 0.5000], [0.1418, 0.1418, 0.0000], [0.8582, 0.8582, 0.0000], [0.5000, 0.5000, 0.0000]]}

---

{"formula": "PrZnCuSn", "functional": "PBE", "state": "optimized geometry", "total_magnetization_mub_per_atom": 0.000, "dos_at_fermi_per_ev_cell": 1.7, "lattice_angstrom": [[0.0000, 3.4793, 3.4793], [3.4793, 0.0000, 3.4793], [3.4793, 3.4793, 0.0000]], "species": ["Pr", "Zn", "Cu", "Sn"], "frac_coords": [[0.0000, 0.0000, 0.0000], [0.7500, 0.7500, 0.7500], [0.2500, 0.2500, 0.2500], [0.5000, 0.5000, 0.5000]]}

---

| no. | total energy (eV per atom) |
| --- | --- |
| 1 | -3.994 |
| 2 | -5.011 |
| 3 | -10.632 |
| 4 | -7.692 |
| 5 | -7.141 |
| 6 | -7.963 |
| 7 | -3.797 |
| 8 | -3.839 |